First-principles (GGA-PBE) data for an optimized crystal structure of Nd5Al2Cd2, as listed in the Alexandria database.

The structure belongs to space group Cmce (No. 64); the cell edges are 17.136, 8.211 and 7.635 Å and the angles 90.00°, 90.00° and 90.00°. The inequivalent atoms are Nd at (0.000, 0.000, 0.000), Nd at (0.134, 0.190, 0.321), Al at (0.000, 0.121, 0.609) and Cd at (0.220, 0.000, 0.000).

The total energy comes out at -3.9303 eV/atom. For the density of states at the Fermi level, the calculation gives 0.89 states/eV per atom. The calculation puts the magnetic moment at 0.0 μB per formula unit. The energy of formation from the pure elements comes out at -0.246 eV/atom.